Computed, not measured: a relaxed KTa2CrF crystal at the PBE+U level of DFT.

POSCAR file:
```
KTa2CrF
1.0
4.3702 0.0000 0.0000
0.0000 4.3702 0.0000
0.0000 0.0000 5.1696
K Ta Cr F
1 2 1 1
direct
0.0000 0.0000 0.0000
0.0000 0.5000 0.5000
0.5000 0.0000 0.5000
0.5000 0.5000 0.0000
0.0000 0.0000 0.5000
```

The energy comes out at -6.169 eV per atom. The space group is P4/mmm.